## Nd6Sm3Y2Tm (GGA-PBE)

Data for crystalline Nd6Sm3Y2Tm at its relaxed geometry.

Values from the calculation:
E_form = 0.01 eV/atom
space group = C2/m
E_tot = -60.0 eV per formula unit

abc: 6.3103 6.3103 11.9667
angles: 95.03 95.03 120.01
With the nearest neighbours (Å) after each atom.
Fractional positions:
Y (0.3334, 0.6666, 0.0000)  6 Nd 3.60, 3 Y 3.64, 3 Tm 3.64
Y (0.6666, 0.3334, 0.0000)  6 Nd 3.60, 3 Y 3.64, 3 Tm 3.64
Sm (0.8334, 0.1666, 0.5000)  6 Nd 3.64-3.65, 6 Sm 3.64
Sm (0.5000, 0.5000, 0.5000)  6 Nd 3.64-3.65, 6 Sm 3.64
Sm (0.1666, 0.8334, 0.5000)  6 Nd 3.64-3.65, 6 Sm 3.64
Nd (0.7508, 0.7508, 0.2477)  1 Tm 3.59, 2 Y 3.60, 6 Nd 3.63-3.65, 3 Sm 3.64-3.65
Nd (0.4149, 0.0829, 0.2475)  1 Tm 3.59, 2 Y 3.60, 6 Nd 3.63-3.65, 3 Sm 3.64-3.65
Nd (0.0829, 0.4149, 0.2475)  1 Tm 3.59, 2 Y 3.60, 6 Nd 3.63-3.65, 3 Sm 3.64-3.65
Nd (0.5851, 0.9171, 0.7525)  1 Tm 3.59, 2 Y 3.60, 6 Nd 3.63-3.65, 3 Sm 3.64-3.65
Nd (0.9171, 0.5851, 0.7525)  1 Tm 3.59, 2 Y 3.60, 6 Nd 3.63-3.65, 3 Sm 3.64-3.65
Nd (0.2492, 0.2492, 0.7523)  1 Tm 3.59, 2 Y 3.60, 6 Nd 3.63-3.65, 3 Sm 3.64-3.65
Tm (0.0000, 0.0000, 0.0000)  6 Nd 3.59, 6 Y 3.64

***

## NdSmTmZr (GGA-PBE)

Data for crystalline NdSmTmZr at its relaxed geometry.

Values from the calculation:
E_form = 0.24 eV/atom
space group = F-43m
E_tot = -21.5 eV per formula unit

abc: 5.5441 5.5441 5.5441
angles: 60.00 60.00 60.00
With the nearest neighbours (Å) after each atom.
Fractional positions:
Sm (0.5000, 0.5000, 0.5000)  4 Nd 3.40, 4 Zr 3.40
Nd (0.7500, 0.7500, 0.7500)  4 Tm 3.40, 4 Sm 3.40
Tm (0.0000, 0.0000, 0.0000)  4 Zr 3.40, 4 Nd 3.40
Zr (0.2500, 0.2500, 0.2500)  4 Tm 3.40, 4 Sm 3.40

***

## NdSm2V (GGA-PBE)

Data for crystalline NdSm2V at its relaxed geometry.

Values from the calculation:
E_form = 0.63 eV/atom
space group = R-3m
E_tot = -20.8 eV per formula unit

abc: 3.4366 3.4366 11.8724
angles: 81.68 81.68 60.00
With the nearest neighbours (Å) after each atom.
Fractional positions:
V (0.0000, 0.0000, 0.0000)  2 Sm 2.82
Sm (0.9198, 0.9198, 0.2406)  1 V 2.82
Sm (0.0802, 0.0802, 0.7594)  1 V 2.82
Nd (0.5000, 0.5000, 0.5000)  6 Nd 3.44, 6 Sm 3.63

***

## Nd8SmY5 (GGA-PBE)

Data for crystalline Nd8SmY5 at its relaxed geometry.

Values from the calculation:
E_form = 0.25 eV/atom
space group = I-4
E_tot = -71.7 eV per formula unit

abc: 8.6246 8.6246 8.6246
angles: 111.37 105.73 111.37
With the nearest neighbours (Å) after each atom.
Fractional positions:
Y (0.8700, 0.9072, 0.1843)  8 Nd 3.41-3.65, 2 Y 3.54
Y (0.0372, 0.3143, 0.1300)  8 Nd 3.41-3.65, 2 Y 3.54
Y (0.5000, 0.0000, 0.5000)  8 Nd 3.24-3.42
Y (0.8157, 0.6857, 0.7229)  8 Nd 3.41-3.65, 2 Y 3.54
Y (0.2771, 0.0928, 0.9628)  8 Nd 3.41-3.65, 2 Y 3.54
Nd (0.1614, 0.7301, 0.0732)  5 Y 3.24-3.61, 1 Sm 3.24
Nd (0.5303, 0.6035, 0.2705)  5 Y 3.42-3.65, 3 Nd 3.60-3.68
Nd (0.5687, 0.9118, 0.8386)  5 Y 3.24-3.61, 1 Sm 3.24
Nd (0.9268, 0.0882, 0.6569)  5 Y 3.24-3.61, 1 Sm 3.24
Nd (0.0732, 0.7401, 0.4697)  5 Y 3.42-3.65, 3 Nd 3.60-3.68
Nd (0.3431, 0.2699, 0.4313)  5 Y 3.24-3.61, 1 Sm 3.24
Nd (0.7295, 0.2599, 0.3330)  5 Y 3.42-3.65, 3 Nd 3.60-3.68
Nd (0.6670, 0.3965, 0.9268)  5 Y 3.42-3.65, 3 Nd 3.60-3.68
Sm (0.2500, 0.5000, 0.7500)  4 Nd 3.24

***

## Nd3Sm2Y5 (GGA-PBE)

Data for crystalline Nd3Sm2Y5 at its relaxed geometry.

Values from the calculation:
E_form = 0.17 eV/atom
distance to the lowest polymorph of the same formula = 0.000 eV per atom
space group = C2/c
E_tot = -54.3 eV per formula unit

abc: 9.3336 9.3275 11.2183
angles: 123.54 123.55 70.80
With the nearest neighbours (Å) after each atom.
Fractional positions:
Nd (0.0245, 0.7750, 0.2505)  1 Sm 3.11, 2 Y 3.35-3.36
Nd (0.2282, 0.9782, 0.9564)  4 Sm 3.32-3.58, 3 Y 3.35-3.70, 2 Nd 3.54
Nd (0.7718, 0.0218, 0.0436)  4 Sm 3.32-3.58, 3 Y 3.35-3.70, 2 Nd 3.54
Nd (0.9755, 0.2250, 0.7495)  1 Sm 3.11, 2 Y 3.35-3.36
Nd (0.7260, 0.4756, 0.2505)  1 Sm 3.11, 2 Y 3.35-3.36
Nd (0.2740, 0.5244, 0.7495)  1 Sm 3.11, 2 Y 3.35-3.36
Y (0.5270, 0.2770, 0.5539)  3 Y 3.29-3.63, 4 Sm 3.32-3.50, 2 Nd 3.50
Y (0.0253, 0.7753, 0.5506)  5 Nd 3.35-3.51, 2 Sm 3.52, 2 Y 3.59
Y (0.8689, 0.6159, 0.7386)  2 Sm 3.50-3.53, 3 Nd 3.50-3.70, 3 Y 3.59-3.70
Y (0.6303, 0.8773, 0.2614)  2 Sm 3.50-3.53, 3 Nd 3.50-3.70, 3 Y 3.59-3.70
Y (0.9747, 0.2247, 0.4494)  5 Nd 3.35-3.51, 2 Sm 3.52, 2 Y 3.59
Y (0.2737, 0.5237, 0.0474)  1 Y 3.29, 4 Nd 3.35-3.53, 2 Sm 3.57
Y (0.3697, 0.1227, 0.7386)  2 Sm 3.50-3.53, 3 Nd 3.50-3.70, 3 Y 3.59-3.70
Y (0.4730, 0.7230, 0.4461)  3 Y 3.29-3.63, 4 Sm 3.32-3.50, 2 Nd 3.50
Y (0.1311, 0.3841, 0.2614)  2 Sm 3.50-3.53, 3 Nd 3.50-3.70, 3 Y 3.59-3.70
Y (0.7263, 0.4763, 0.9526)  1 Y 3.29, 4 Nd 3.35-3.53, 2 Sm 3.57
Sm (0.7689, 0.0186, 0.7449)  2 Nd 3.11-3.32, 1 Y 3.32
Sm (0.4760, 0.7263, 0.7449)  2 Nd 3.11-3.32, 1 Y 3.32
Sm (0.5240, 0.2737, 0.2551)  2 Nd 3.11-3.32, 1 Y 3.32
Sm (0.2311, 0.9814, 0.2551)  2 Nd 3.11-3.32, 1 Y 3.32

***

## NdSm6Y12 (GGA-PBE)

Data for crystalline NdSm6Y12 at its relaxed geometry.

Values from the calculation:
E_form = 0.02 eV/atom
distance to the lowest polymorph of the same formula = 0.000 eV per atom
space group = R-3
E_tot = -110.3 eV per formula unit

abc: 8.8044 9.5063 9.5063
angles: 69.08 72.02 107.98
With the nearest neighbours (Å) after each atom.
Fractional positions:
Sm (0.9475, 0.3161, 0.4741)  3 Sm 3.58-3.60, 9 Y 3.58-3.60
Sm (0.0525, 0.6839, 0.5259)  3 Sm 3.58-3.60, 9 Y 3.58-3.60
Sm (0.5784, 0.5259, 0.7902)  3 Sm 3.58-3.60, 9 Y 3.58-3.60
Sm (0.6314, 0.2098, 0.3161)  3 Sm 3.58-3.60, 9 Y 3.58-3.60
Sm (0.3686, 0.7902, 0.6839)  3 Sm 3.58-3.60, 9 Y 3.58-3.60
Sm (0.4216, 0.4741, 0.2098)  3 Sm 3.58-3.60, 9 Y 3.58-3.60
Nd (0.0000, 0.0000, 0.0000)  12 Y 3.59-3.60
Y (0.4741, 0.1577, 0.7366)  4 Sm 3.58-3.60, 7 Y 3.59-3.60, 1 Nd 3.60
Y (0.8416, 0.9477, 0.4210)  5 Sm 3.58-3.60, 6 Y 3.59-3.60, 1 Nd 3.59
Y (0.2626, 0.4210, 0.6313)  5 Sm 3.58-3.60, 6 Y 3.59-3.60, 1 Nd 3.59
Y (0.1061, 0.3687, 0.0523)  5 Sm 3.58-3.60, 6 Y 3.59-3.60, 1 Nd 3.59
Y (0.2107, 0.7366, 0.1058)  4 Sm 3.58-3.60, 7 Y 3.59-3.60, 1 Nd 3.60
Y (0.8939, 0.6313, 0.9477)  5 Sm 3.58-3.60, 6 Y 3.59-3.60, 1 Nd 3.59
Y (0.6835, 0.8942, 0.8423)  4 Sm 3.58-3.60, 7 Y 3.59-3.60, 1 Nd 3.60
Y (0.7893, 0.2634, 0.8942)  4 Sm 3.58-3.60, 7 Y 3.59-3.60, 1 Nd 3.60
Y (0.1584, 0.0523, 0.5790)  5 Sm 3.58-3.60, 6 Y 3.59-3.60, 1 Nd 3.59
Y (0.3165, 0.1058, 0.1577)  4 Sm 3.58-3.60, 7 Y 3.59-3.60, 1 Nd 3.60
Y (0.5259, 0.8423, 0.2634)  4 Sm 3.58-3.60, 7 Y 3.59-3.60, 1 Nd 3.60
Y (0.7374, 0.5790, 0.3687)  5 Sm 3.58-3.60, 6 Y 3.59-3.60, 1 Nd 3.59

***

## NdSm10Y6 (GGA-PBE)

Data for crystalline NdSm10Y6 at its relaxed geometry.

Values from the calculation:
E_form = 0.14 eV/atom
space group = P-31m
E_tot = -88.4 eV per formula unit

abc: 6.9001 9.8306 9.8306
angles: 120.00 90.00 90.00
With the nearest neighbours (Å) after each atom.
Fractional positions:
Sm (0.1817, 0.7238, 0.0000)  5 Y 3.41-3.65, 1 Nd 3.49, 4 Sm 3.70-3.80
Sm (0.8183, 0.2762, 0.0000)  5 Y 3.41-3.65, 1 Nd 3.49, 4 Sm 3.70-3.80
Sm (0.8183, 0.7238, 0.7238)  5 Y 3.41-3.65, 1 Nd 3.49, 4 Sm 3.70-3.80
Sm (0.1817, 0.0000, 0.7238)  5 Y 3.41-3.65, 1 Nd 3.49, 4 Sm 3.70-3.80
Sm (0.0000, 0.3333, 0.6667)  8 Sm 3.45-3.80, 6 Y 3.76
Sm (0.5000, 0.3333, 0.6667)  6 Y 3.38, 2 Sm 3.45
Sm (0.8183, 0.0000, 0.2762)  5 Y 3.41-3.65, 1 Nd 3.49, 4 Sm 3.70-3.80
Sm (0.5000, 0.6667, 0.3333)  6 Y 3.38, 2 Sm 3.45
Sm (0.0000, 0.6667, 0.3333)  8 Sm 3.45-3.80, 6 Y 3.76
Sm (0.1817, 0.2762, 0.2762)  5 Y 3.41-3.65, 1 Nd 3.49, 4 Sm 3.70-3.80
Y (0.6930, 0.0000, 0.6272)  9 Sm 3.38-3.76, 1 Y 3.65
Y (0.3070, 0.3728, 0.0000)  9 Sm 3.38-3.76, 1 Y 3.65
Y (0.3070, 0.0000, 0.3728)  9 Sm 3.38-3.76, 1 Y 3.65
Y (0.3070, 0.6272, 0.6272)  9 Sm 3.38-3.76, 1 Y 3.65
Y (0.6930, 0.3728, 0.3728)  9 Sm 3.38-3.76, 1 Y 3.65
Y (0.6930, 0.6272, 0.0000)  9 Sm 3.38-3.76, 1 Y 3.65
Nd (0.5000, 0.0000, 0.0000)  6 Sm 3.49, 6 Y 3.90

***

## Nd4Sm2Y5 (GGA-PBE)

Data for crystalline Nd4Sm2Y5 at its relaxed geometry.

Values from the calculation:
E_form = 0.12 eV/atom
distance to the lowest polymorph of the same formula = 0.018 eV per atom
space group = C2/m
E_tot = -59.5 eV per formula unit

abc: 7.5706 6.7772 10.0892
angles: 63.13 67.96 56.05
With the nearest neighbours (Å) after each atom.
Fractional positions:
Sm (0.1430, 0.8399, 0.8741)  1 Sm 3.39, 2 Nd 3.46-3.50, 6 Y 3.48-3.73
Sm (0.8570, 0.1601, 0.1259)  1 Sm 3.39, 2 Nd 3.46-3.50, 6 Y 3.48-3.73
Y (0.0000, 0.5000, 0.5000)  4 Y 3.27, 2 Nd 3.54
Y (0.6516, 0.3563, 0.7802)  2 Y 3.27-3.33, 2 Sm 3.48-3.53, 5 Nd 3.48-3.65
Y (0.7881, 0.6437, 0.2198)  2 Y 3.27-3.33, 2 Sm 3.48-3.53, 5 Nd 3.48-3.65
Y (0.2119, 0.3563, 0.7802)  2 Y 3.27-3.33, 2 Sm 3.48-3.53, 5 Nd 3.48-3.65
Y (0.3484, 0.6437, 0.2198)  2 Y 3.27-3.33, 2 Sm 3.48-3.53, 5 Nd 3.48-3.65
Nd (0.6757, 0.7728, 0.8758)  1 Nd 3.44, 6 Y 3.48-3.53, 3 Sm 3.50-3.80
Nd (0.3149, 0.8718, 0.4984)  1 Nd 3.44, 1 Sm 3.46, 5 Y 3.54-3.65
Nd (0.3243, 0.2272, 0.1242)  1 Nd 3.44, 6 Y 3.48-3.53, 3 Sm 3.50-3.80
Nd (0.6851, 0.1282, 0.5016)  1 Nd 3.44, 1 Sm 3.46, 5 Y 3.54-3.65